--- a ---
Computed, not measured: a relaxed structure of Tm8Ru2Rh at the PBE level of DFT.

Properties
DOS(E_F) = 0.903 states/eV/atom
Space group = C2/m (12)

Cell and atoms, written as POSCAR:
```
Tm8Ru2Rh
1.0
4.7809 0.0000 0.0000
0.0000 6.7834 0.1226
-2.3905 -2.7597 8.1151
Ru Tm Rh
2 8 1
direct
0.1841 0.6992 0.3681 Ru
0.8159 0.3008 0.6319 Ru
0.2040 0.3135 0.4079 Tm
0.3313 0.0358 0.6626 Tm
0.0313 0.7908 0.0626 Tm
0.5964 0.4557 0.1928 Tm
0.9687 0.2092 0.9374 Tm
0.4036 0.5443 0.8072 Tm
0.7960 0.6865 0.5921 Tm
0.6687 0.9642 0.3374 Tm
0.5000 0.0000 0.0000 Rh
```

=====

--- b ---
Computed, not measured: a relaxed structure of Tm8Ru2Rh at the PBE level of DFT.

Properties
DOS(E_F) = 0.733 states/eV/atom
Space group = Cm (8)

Cell and atoms, written as POSCAR:
```
Tm8Ru2Rh
1.0
-5.0222 1.8681 -2.0480
-1.8455 -6.9602 1.9852
0.8875 4.5939 5.8224
Tm Ru Rh
8 2 1
direct
0.5826 0.0816 0.3404 Tm
0.3900 0.6673 0.9255 Tm
0.3900 0.9255 0.6673 Tm
0.5826 0.3404 0.0816 Tm
0.8029 0.6399 0.6399 Tm
0.9895 0.7862 0.2144 Tm
0.1797 0.3649 0.3649 Tm
0.9895 0.2144 0.7862 Tm
0.4939 0.3163 0.6967 Ru
0.4939 0.6967 0.3163 Ru
0.1049 0.0007 0.0007 Rh
```

=====

Most stable to least stable: a, b

=====

--- a ---
Computed, not measured: a relaxed structure of Tm4RuRh at the PBE level of DFT.

Properties
DOS(E_F) = 0.677 states/eV/atom
Space group = C2/c (15)

Cell and atoms, written as POSCAR:
```
Tm4RuRh
1.0
-4.6120 -4.1197 0.7828
3.9585 -3.5320 -5.1268
3.6900 0.9329 6.7618
Tm Ru Rh
8 2 2
direct
0.9947 0.7600 0.1262 Tm
0.6315 0.3662 0.1262 Tm
0.6457 0.0464 0.3523 Tm
0.3685 0.6338 0.8738 Tm
0.3543 0.9536 0.6477 Tm
0.0053 0.2400 0.8738 Tm
0.2066 0.3059 0.3523 Tm
0.7934 0.6941 0.6477 Tm
0.7497 0.9997 0.9994 Ru
0.2503 0.0003 0.0006 Ru
0.6141 0.3641 0.7283 Rh
0.3859 0.6359 0.2717 Rh
```

=====

--- b ---
Computed, not measured: a relaxed structure of Tm4RuRh at the PBE level of DFT.

Properties
DOS(E_F) = 0.596 states/eV/atom
Space group = P2_1/c (14)

Cell and atoms, written as POSCAR:
```
Tm4RuRh
1.0
-0.6255 -4.2965 -5.1249
6.3062 1.3317 -1.8862
2.2262 -4.9493 3.9485
Tm Rh Ru
8 2 2
direct
0.3331 0.3351 0.3379 Tm
0.1624 0.3352 0.8327 Tm
0.6624 0.1648 0.8327 Tm
0.8331 0.1649 0.3379 Tm
0.8376 0.6648 0.1673 Tm
0.3376 0.8352 0.1673 Tm
0.1669 0.8351 0.6621 Tm
0.6669 0.6649 0.6621 Tm
0.0000 0.0000 0.0000 Rh
0.5000 0.5000 0.0000 Rh
0.5000 0.0000 0.5000 Ru
0.0000 0.5000 0.5000 Ru
```

=====

Most stable to least stable: a, b

=====

--- a ---
Computed, not measured: a relaxed structure of Tm6Ru2Rh at the PBE level of DFT.

Properties
DOS(E_F) = 0.557 states/eV/atom
Space group = Fmmm (69)

Cell and atoms, written as POSCAR:
```
Tm6Ru2Rh
1.0
4.4993 0.0000 1.4982
2.2500 6.3899 0.7479
0.0025 0.0014 7.4976
Tm Ru Rh
6 2 1
direct
0.2968 0.2420 0.1644 Tm
0.6292 0.2416 0.5000 Tm
0.3708 0.7584 0.5000 Tm
0.0388 0.7580 0.1644 Tm
0.7032 0.7580 0.8356 Tm
0.9612 0.2420 0.8356 Tm
0.6660 0.5000 0.1679 Ru
0.3340 0.5000 0.8321 Ru
0.0000 0.5000 0.5000 Rh
```

=====

--- b ---
Computed, not measured: a relaxed structure of Tm6Ru2Rh at the PBE level of DFT.

Properties
DOS(E_F) = 0.494 states/eV/atom
Space group = P2_1/c (14)

Cell and atoms, written as POSCAR:
```
Tm6Ru2Rh
1.0
-2.1041 -2.9904 5.3970
0.6928 -6.3840 -3.2672
8.6167 -0.8090 3.4081
Tm Ru Rh
12 4 2
direct
0.8349 0.9620 0.2384 Tm
0.3518 0.8296 0.4293 Tm
0.8518 0.6704 0.9293 Tm
0.1651 0.0380 0.7616 Tm
0.3234 0.8304 0.0736 Tm
0.6766 0.1696 0.9264 Tm
0.1766 0.3304 0.4264 Tm
0.3349 0.5380 0.7384 Tm
0.6651 0.4620 0.2616 Tm
0.8234 0.6696 0.5736 Tm
0.6482 0.1704 0.5707 Tm
0.1482 0.3296 0.0707 Tm
0.5338 0.8636 0.7804 Ru
0.9662 0.3636 0.7196 Ru
0.0338 0.6364 0.2804 Ru
0.4662 0.1364 0.2196 Ru
0.0000 0.0000 0.5000 Rh
0.5000 0.5000 0.0000 Rh
```

=====

Most stable to least stable: a, b

=====

--- a ---
Computed, not measured: a relaxed structure of V2RuRh2 at the PBE level of DFT.

Properties
DOS(E_F) = 1.384 states/eV/atom
Space group = Cmmm (65)

Cell and atoms, written as POSCAR:
```
V2RuRh2
1.0
-1.2662 -3.8343 -1.4081
3.7114 0.2183 2.1131
-2.3210 -0.7607 4.1564
V Ru Rh
2 1 2
direct
0.4998 0.4998 0.2568 V
0.5002 0.5002 0.7432 V
0.0000 0.0000 0.0000 Ru
0.8288 0.1712 0.5000 Rh
0.1712 0.8288 0.5000 Rh
```

=====

--- b ---
Computed, not measured: a relaxed structure of V2RuRh2 at the PBE level of DFT.

Properties
DOS(E_F) = 1.435 states/eV/atom
Space group = P4/mbm (127)

Cell and atoms, written as POSCAR:
```
V2RuRh2
1.0
-4.9644 4.6334 2.2238
-1.4759 -4.2469 5.5537
1.9220 1.3271 1.5256
V Rh Ru
4 4 2
direct
0.8313 0.3313 0.5000 V
0.1687 0.6687 0.5000 V
0.6687 0.8313 0.5000 V
0.3313 0.1687 0.5000 V
0.3677 0.8677 0.0000 Rh
0.8677 0.6323 0.0000 Rh
0.6323 0.1323 0.0000 Rh
0.1323 0.3677 0.0000 Rh
0.0000 0.0000 0.0000 Ru
0.5000 0.5000 0.0000 Ru
```

=====

Most stable to least stable: b, a

=====

--- a ---
Computed, not measured: a relaxed structure of VRuRh6 at the PBE level of DFT.

Properties
DOS(E_F) = 1.068 states/eV/atom
Space group = P4/mmm (123)

Cell and atoms, written as POSCAR:
```
VRuRh6
1.0
-0.4933 -3.7877 -0.2888
3.6024 -0.7706 3.9538
-3.9670 0.2374 3.6619
Ru V Rh
1 1 6
direct
0.5000 0.5000 0.5000 Ru
0.5000 0.0000 0.0000 V
0.0000 0.2483 0.7517 Rh
0.0000 0.7517 0.2483 Rh
0.5000 0.5000 0.0000 Rh
0.0000 0.7517 0.7517 Rh
0.0000 0.2483 0.2483 Rh
0.5000 0.0000 0.5000 Rh
```

=====

--- b ---
Computed, not measured: a relaxed structure of VRuRh6 at the PBE level of DFT.

Properties
DOS(E_F) = 1.372 states/eV/atom
Space group = C2/m (12)

Cell and atoms, written as POSCAR:
```
VRuRh6
1.0
5.5176 -0.5250 -0.4714
-2.5401 4.9262 -0.4714
-1.0938 -1.6167 5.0596
Rh V Ru
6 1 1
direct
0.0202 0.4717 0.2496 Rh
0.2314 0.2314 0.7610 Rh
0.5283 0.9798 0.7504 Rh
0.7686 0.7686 0.2390 Rh
0.4717 0.0202 0.2496 Rh
0.9798 0.5283 0.7504 Rh
0.0000 0.0000 0.0000 V
0.5000 0.5000 0.5000 Ru
```

=====

Most stable to least stable: a, b

=====

--- a ---
Computed, not measured: a relaxed structure of V2RuRh at the PBE level of DFT.

Properties
DOS(E_F) = 1.829 states/eV/atom
Space group = I-42d (122)

Cell and atoms, written as POSCAR:
```
V2RuRh
1.0
6.6487 0.0000 0.0000
0.0000 6.6487 0.0000
3.3243 3.3243 2.6953
Rh V Ru
2 4 2
direct
0.0000 0.0000 0.0000 Rh
0.7500 0.2500 0.5000 Rh
0.3750 0.3795 0.7500 V
0.1295 0.6250 0.2500 V
0.6205 0.1250 0.2500 V
0.8750 0.8705 0.7500 V
0.5000 0.5000 0.0000 Ru
0.2500 0.7500 0.5000 Ru
```

=====

--- b ---
Computed, not measured: a relaxed structure of V2RuRh at the PBE level of DFT.

Properties
DOS(E_F) = 1.599 states/eV/atom
Space group = Fm-3m (225)

Cell and atoms, written as POSCAR:
```
V2RuRh
1.0
-2.2777 2.1191 -2.9508
-4.0627 -1.1235 -0.7862
-3.2088 2.5740 1.2100
Rh Ru V
1 1 2
direct
0.5000 0.5000 0.5000 Rh
0.0000 0.0000 0.0000 Ru
0.7500 0.7500 0.7500 V
0.2500 0.2500 0.2500 V
```

=====

Most stable to least stable: b, a

=====

--- a ---
Computed, not measured: a relaxed structure of V2RuRh at the PBE level of DFT.

Properties
DOS(E_F) = 1.402 states/eV/atom
Space group = Pmmn (59)

Cell and atoms, written as POSCAR:
```
V2RuRh
1.0
-3.7454 1.9486 -0.7366
0.3710 -0.9643 -4.4371
-2.7023 -4.8786 0.8344
Ru Rh V
2 2 4
direct
0.5000 0.7163 0.5000 Ru
0.0000 0.2837 0.0000 Ru
0.5000 0.6918 0.0000 Rh
0.0000 0.3082 0.5000 Rh
0.0000 0.7974 0.7531 V
0.5000 0.2026 0.7469 V
0.0000 0.7974 0.2469 V
0.5000 0.2026 0.2531 V
```

=====

--- b ---
Computed, not measured: a relaxed structure of V2RuRh at the PBE level of DFT.

Properties
DOS(E_F) = 0.913 states/eV/atom
Space group = C2/m (12)

Cell and atoms, written as POSCAR:
```
V2RuRh
1.0
4.3940 -0.3614 0.0969
-0.2135 4.7662 2.1942
-0.6748 -0.0356 5.2077
V Ru Rh
4 2 2
direct
0.7138 0.8529 0.3609 V
0.7138 0.3609 0.8529 V
0.2862 0.6391 0.1471 V
0.2862 0.1471 0.6391 V
0.7776 0.3593 0.3593 Ru
0.2224 0.6407 0.6407 Ru
0.7845 0.8603 0.8603 Rh
0.2155 0.1397 0.1397 Rh
```

=====

Most stable to least stable: b, a

=====

--- a ---
Computed, not measured: a relaxed structure of VRuRh4 at the PBE level of DFT.

Properties
DOS(E_F) = 1.190 states/eV/atom
Space group = Cmcm (63)

Cell and atoms, written as POSCAR:
```
VRuRh4
1.0
4.3393 0.0000 0.0000
0.0000 7.1335 0.0000
-2.1697 0.0000 5.9820
Rh Ru V
8 2 2
direct
0.0000 0.0000 0.0000 Rh
0.2336 0.4227 0.4672 Rh
0.2336 0.0773 0.4672 Rh
0.0000 0.5000 0.0000 Rh
0.4429 0.2500 0.8858 Rh
0.5571 0.7500 0.1142 Rh
0.7664 0.9227 0.5328 Rh
0.7664 0.5773 0.5328 Rh
0.6463 0.2500 0.2926 Ru
0.3537 0.7500 0.7074 Ru
0.1525 0.7500 0.3051 V
0.8475 0.2500 0.6949 V
```

=====

--- b ---
Computed, not measured: a relaxed structure of VRuRh4 at the PBE level of DFT.

Properties
DOS(E_F) = 1.166 states/eV/atom
Space group = Cmmm (65)

Cell and atoms, written as POSCAR:
```
VRuRh4
1.0
-3.1456 -0.1824 2.1682
1.5271 -2.8890 1.9725
3.8899 3.8255 2.5915
Ru Rh V
1 4 1
direct
0.5000 0.5000 0.0000 Ru
0.1623 0.5000 0.3246 Rh
0.8377 0.5000 0.6754 Rh
0.6613 0.0000 0.3227 Rh
0.3387 0.0000 0.6773 Rh
0.0000 0.0000 0.0000 V
```

=====

Most stable to least stable: b, a

=====

--- a ---
Computed, not measured: a relaxed structure of VRuRh3 at the PBE level of DFT.

Properties
DOS(E_F) = 0.744 states/eV/atom
Space group = Cmcm (63)

Cell and atoms, written as POSCAR:
```
VRuRh3
1.0
5.1939 0.0000 0.0000
0.0000 5.5087 0.9222
0.0000 -1.9541 5.2324
Ru V Rh
2 2 6
direct
0.0000 0.0000 0.0000 Ru
0.5000 0.0000 0.0000 Ru
0.7500 0.7565 0.2435 V
0.2500 0.2435 0.7565 V
0.7500 0.2737 0.7263 Rh
0.2500 0.2714 0.3497 Rh
0.2500 0.6503 0.7286 Rh
0.7500 0.7286 0.6503 Rh
0.2500 0.7263 0.2737 Rh
0.7500 0.3497 0.2714 Rh
```

=====

--- b ---
Computed, not measured: a relaxed structure of VRuRh3 at the PBE level of DFT.

Properties
DOS(E_F) = 1.097 states/eV/atom
Space group = Pm-3m (221)

Cell and atoms, written as POSCAR:
```
VRuRh3
1.0
4.4343 0.0000 0.0000
0.0000 4.4343 0.0000
0.0000 0.0000 4.4343
Ru Rh V
1 3 1
direct
0.5000 0.5000 0.5000 Ru
0.5000 0.0000 0.0000 Rh
0.0000 0.0000 0.5000 Rh
0.0000 0.5000 0.0000 Rh
0.0000 0.0000 0.0000 V
```

=====

Most stable to least stable: a, b

=====

--- a ---
Computed, not measured: a relaxed structure of VRu3Rh at the PBE level of DFT.

Properties
DOS(E_F) = 1.677 states/eV/atom
Space group = Pm-3m (221)

Cell and atoms, written as POSCAR:
```
VRu3Rh
1.0
4.3854 0.0000 0.0000
0.0000 4.3854 0.0000
0.0000 0.0000 4.3854
Ru V Rh
3 1 1
direct
0.0000 0.0000 0.5000 Ru
0.5000 0.0000 0.0000 Ru
0.0000 0.5000 0.0000 Ru
0.0000 0.0000 0.0000 V
0.5000 0.5000 0.5000 Rh
```

=====

--- b ---
Computed, not measured: a relaxed structure of VRu3Rh at the PBE level of DFT.

Properties
DOS(E_F) = 2.241 states/eV/atom
Space group = Pm-3m (221)

Cell and atoms, written as POSCAR:
```
VRu3Rh
1.0
4.6363 0.0000 0.0000
0.0000 4.6363 0.0000
0.0000 0.0000 4.6363
V Rh Ru
1 1 3
direct
0.5000 0.5000 0.5000 V
0.0000 0.0000 0.0000 Rh
0.0000 0.5000 0.0000 Ru
0.0000 0.0000 0.5000 Ru
0.5000 0.0000 0.0000 Ru
```

=====

Most stable to least stable: a, b

=====

--- a ---
Computed, not measured: a relaxed structure of V4RuRh at the PBE level of DFT.

Properties
DOS(E_F) = 1.182 states/eV/atom
Space group = C2/m (12)

Cell and atoms, written as POSCAR:
```
V4RuRh
1.0
-0.5819 -1.2216 -4.7917
3.2980 -1.6078 3.3660
-4.6268 -1.6984 0.6640
Ru V Rh
1 4 1
direct
0.0000 0.0000 0.0000 Ru
0.6715 0.8286 0.5001 V
0.3378 0.6730 0.0108 V
0.3285 0.1714 0.4999 V
0.6622 0.3270 0.9892 V
0.0000 0.5000 0.5000 Rh
```

=====

--- b ---
Computed, not measured: a relaxed structure of V4RuRh at the PBE level of DFT.

Properties
DOS(E_F) = 1.328 states/eV/atom
Space group = C2/m (12)

Cell and atoms, written as POSCAR:
```
V4RuRh
1.0
4.3148 0.0000 0.0000
2.1574 3.5398 0.0211
2.1574 0.4479 6.3473
V Ru Rh
4 1 1
direct
0.8883 0.8407 0.3827 V
0.1117 0.1593 0.6173 V
0.3814 0.3465 0.8906 V
0.6186 0.6535 0.1094 V
0.0000 0.0000 0.0000 Ru
0.5000 0.5000 0.5000 Rh
```

=====

--- c ---
Computed, not measured: a relaxed structure of V4RuRh at the PBE level of DFT.

Properties
DOS(E_F) = 0.971 states/eV/atom
Space group = F-43m (216)

Cell and atoms, written as POSCAR:
```
V4RuRh
1.0
-0.8155 3.1299 -3.6199
2.1773 -0.6326 -4.2924
-2.6001 -1.3781 -3.8608
V Rh Ru
4 1 1
direct
0.6257 0.6257 0.1228 V
0.6257 0.6257 0.6257 V
0.6257 0.1228 0.6257 V
0.1228 0.6257 0.6257 V
0.2500 0.2500 0.2500 Rh
0.0000 0.0000 0.0000 Ru
```

=====

Most stable to least stable: a, c, b